No. 1
{
  "formula": "Na2In2Hg",
  "functional": "SCAN",
  "state": "single point on PBEsol structure",
  "lattice_angstrom": [[-3.478, -1.847, 1.336], [1.856, -3.710, -0.297], [3.229, 3.414, 6.652]],
  "species": ["In", "In", "Na", "Na", "Hg"],
  "frac_coords": [[0.592, 0.592, 0.184], [0.408, 0.408, 0.816], [0.750, 0.250, 0.500], [0.250, 0.750, 0.500], [0.000, 0.000, 0.000]],
  "de_polymorph_mev_per_atom": 212,
  "total_magnetization_mub_per_fu": 0.00,
  "crystal_system": "tetragonal",
  "spacegroup": "I4/mmm (139)",
  "e_tot_ev_per_atom": -28.644
}

=====

No. 2
{
  "formula": "Nb3InHg",
  "functional": "SCAN",
  "state": "single point on PBEsol structure",
  "lattice_angstrom": [[4.959, 0.000, 0.000], [0.000, 4.959, 0.000], [0.000, 0.000, 4.959]],
  "species": ["In", "Nb", "Nb", "Nb", "Hg"],
  "frac_coords": [[0.000, 0.000, 0.000], [0.500, 0.000, 0.000], [0.000, 0.500, 0.000], [0.000, 0.000, 0.500], [0.500, 0.500, 0.500]],
  "total_magnetization_mub_per_fu": 0.00,
  "crystal_system": "cubic",
  "spacegroup": "Pm-3m (221)",
  "e_tot_ev_per_atom": -38.456
}